First-principles (GGA-PBEsol) data for an optimized crystal structure of ZnHg2As, as listed in Alexandria via LeMat-Bulk.

Output
ΔE_f   0.062 eV per atom
SG   Cm
Total moment   0.000 μB/cell
Calculated volume   24.2 A^3/atom
Raw total energy   -0.1392 Ry/atom

a = 4.1460 Å, b = 4.1581 Å, c = 6.4771 Å
α = 89.65°, β = 90.00°, γ = 119.90°
With the nearest neighbours (Å) after each atom.
Atoms (fractional coordinates):
As1 0.8471 0.6943 0.6230  3 Zn 2.41-2.42, 1 Hg 2.65
Hg1 0.9093 0.8185 0.0254  1 As 2.65, 3 Hg 2.81-2.93
Hg2 0.2272 0.4543 0.2752  3 Hg 2.81-2.93, 1 Zn 2.87
Zn1 0.5164 0.0329 0.5764  3 As 2.41-2.42



First-principles (GGA-PBEsol) data for an optimized crystal structure of Zn2HgAs, as listed in Alexandria via LeMat-Bulk.

Output
ΔE_f   0.108 eV per atom
SG   Pmm2
Total moment   0.000 μB/cell
Calculated volume   19.0 A^3/atom
Raw total energy   -0.1544 Ry/atom

a = 3.7577 Å, b = 3.7951 Å, c = 5.3329 Å
α = 90.00°, β = 90.00°, γ = 90.00°
With the nearest neighbours (Å) after each atom.
Atoms (fractional coordinates):
As1 0.0000 0.0000 0.3763  6 Zn 2.66-2.67
Hg1 0.5000 0.5000 0.8731  6 Zn 2.67
Zn1 0.0000 0.0000 0.8774  2 As 2.66-2.67, 4 Hg 2.67
Zn2 0.5000 0.5000 0.3732  2 Hg 2.67, 4 As 2.67



First-principles (GGA-PBEsol) data for an optimized crystal structure of ZnHg2As, as listed in Alexandria via LeMat-Bulk.

Output
ΔE_f   0.122 eV per atom
SG   Pmm2
Total moment   0.000 μB/cell
Calculated volume   23.0 A^3/atom
Raw total energy   -0.1348 Ry/atom

a = 2.9320 Å, b = 3.7497 Å, c = 8.3637 Å
α = 90.00°, β = 90.00°, γ = 90.00°
With the nearest neighbours (Å) after each atom.
Atoms (fractional coordinates):
As1 0.5000 0.5000 0.5673  4 Zn 2.59, 1 Hg 2.72
Hg1 0.0000 0.0000 0.0009  1 Zn 2.60
Hg2 0.5000 0.5000 0.2418  1 As 2.72, 2 Hg 2.93
Zn1 0.0000 0.0000 0.6900  4 As 2.59, 1 Hg 2.60



First-principles (GGA-PBEsol) data for an optimized crystal structure of ZrHgAs, as listed in Alexandria via LeMat-Bulk.

Output
ΔE_f   -0.069 eV per atom
SG   F-43m
Total moment   0.000 μB/cell
Calculated volume   22.0 A^3/atom
Raw total energy   -0.3668 Ry/atom

a = 4.5393 Å, b = 4.5393 Å, c = 4.5393 Å
α = 60.00°, β = 60.00°, γ = 60.00°
With the nearest neighbours (Å) after each atom.
Atoms (fractional coordinates):
As1 0.7500 0.7500 0.7500  4 Hg 2.78, 4 Zr 2.78
Hg1 0.0000 0.0000 0.0000  4 As 2.78
Zr1 0.5000 0.5000 0.5000  4 As 2.78



First-principles (GGA-PBEsol) data for an optimized crystal structure of HoNi4As2, as listed in Alexandria via LeMat-Bulk.

Output
ΔE_f   -0.680 eV per atom
SG   P4_2/mnm
Total moment   0.000 μB/cell
Calculated volume   13.5 A^3/atom
Raw total energy   -0.4678 Ry/atom

a = 3.7282 Å, b = 7.1189 Å, c = 7.1189 Å
α = 90.00°, β = 90.00°, γ = 90.00°
With the nearest neighbours (Å) after each atom.
Atoms (fractional coordinates):
Ho1 0.0000 0.5000 0.5000  6 As 2.84-2.88, 12 Ni 3.12-3.16
Ho2 0.5000 0.0000 0.0000  6 As 2.84-2.88, 12 Ni 3.12-3.16
Ni1 0.5000 0.5890 0.1536  3 As 2.36-2.37, 6 Ni 2.53-2.59
Ni2 0.5000 0.4110 0.8464  3 As 2.36-2.37, 6 Ni 2.53-2.59
Ni3 0.0000 0.0890 0.3464  3 As 2.36-2.37, 6 Ni 2.53-2.59
Ni4 0.0000 0.9110 0.6536  3 As 2.36-2.37, 6 Ni 2.53-2.59
Ni5 0.5000 0.1536 0.5890  3 As 2.36-2.37, 6 Ni 2.53-2.59
Ni6 0.5000 0.8464 0.4110  3 As 2.36-2.37, 6 Ni 2.53-2.59
Ni7 0.0000 0.3464 0.0890  3 As 2.36-2.37, 6 Ni 2.53-2.59
Ni8 0.0000 0.6536 0.9110  3 As 2.36-2.37, 6 Ni 2.53-2.59
As1 0.5000 0.7179 0.7179  6 Ni 2.36-2.37
As2 0.5000 0.2821 0.2821  6 Ni 2.36-2.37
As3 0.0000 0.2179 0.7821  6 Ni 2.36-2.37
As4 0.0000 0.7821 0.2179  6 Ni 2.36-2.37



First-principles (GGA-PBEsol) data for an optimized crystal structure of HoAsPd, as listed in Alexandria via LeMat-Bulk.

Output
ΔE_f   -1.241 eV per atom
SG   Pnma
Total moment   0.000 μB/cell
Calculated volume   18.3 A^3/atom
Raw total energy   -0.4836 Ry/atom

a = 4.0744 Å, b = 6.9101 Å, c = 7.8120 Å
α = 90.00°, β = 90.00°, γ = 90.00°
With the nearest neighbours (Å) after each atom.
Atoms (fractional coordinates):
As1 0.7500 0.2493 0.6210  4 Pd 2.59-2.74, 3 Ho 2.86-2.87
As2 0.2500 0.7507 0.3790  4 Pd 2.59-2.74, 3 Ho 2.86-2.87
As3 0.7500 0.7493 0.8790  4 Pd 2.59-2.74, 3 Ho 2.86-2.87
As4 0.2500 0.2507 0.1210  4 Pd 2.59-2.74, 3 Ho 2.86-2.87
Ho1 0.7500 0.9708 0.1902  5 As 2.86-2.94, 3 Pd 3.00-3.05
Ho2 0.2500 0.0292 0.8098  5 As 2.86-2.94, 3 Pd 3.00-3.05
Ho3 0.7500 0.4708 0.3098  5 As 2.86-2.94, 3 Pd 3.00-3.05
Ho4 0.2500 0.5292 0.6902  5 As 2.86-2.94, 3 Pd 3.00-3.05
Pd1 0.2500 0.6416 0.0617  4 As 2.59-2.74
Pd2 0.7500 0.3584 0.9383  4 As 2.59-2.74
Pd3 0.2500 0.1416 0.4383  4 As 2.59-2.74
Pd4 0.7500 0.8584 0.5617  4 As 2.59-2.74



- Which value of raw total energy does entry 5 give?
  -0.4678 Ry/atom